Entry w
TaNiMo2: single point on PBEsol structure, meta-GGA SCAN.

Cell: 3.7037 3.7037 4.2778 Å, 90.00 90.00 90.00°
Element x y z (fractional)
Mo1 0.0000 0.5000 0.0000
Mo2 0.5000 0.0000 0.0000
Ni1 0.5000 0.5000 0.5000
Ta1 0.0000 0.0000 0.5000

Calculated values
The magnetization comes out at 0.000 μB per atom. The calculation puts the density of states at the Fermi level at 0.966 states/eV per atom. As for the space group: P4/mmm.

Entry x
TaNiMo2: single point on PBEsol structure, meta-GGA SCAN.

Cell: 2.6138 3.9784 5.7091 Å, 90.00 90.00 90.00°
Element x y z (fractional)
Mo1 0.0000 0.0000 0.7734
Mo2 0.0000 0.0000 0.2266
Ni1 0.5000 0.5000 0.0000
Ta1 0.5000 0.5000 0.5000

Calculated values
The magnetization comes out at 0.000 μB per atom. The calculation puts the density of states at the Fermi level at 1.001 states/eV per atom. As for the space group: Pmmm.

It is entry w that is most stable; the runner-up trails by 205 meV per atom.

Entry w
Tc2NiMo: single point on PBEsol structure, meta-GGA SCAN.

Cell: 3.7860 3.7860 4.5927 Å, 114.34 114.34 90.00°
Element x y z (fractional)
Ni1 0.7500 0.2500 0.5000
Mo1 0.0000 0.0000 0.0000
Tc1 0.5000 0.5000 0.0000
Tc2 0.2500 0.7500 0.5000

Calculated values
The magnetization comes out at 0.000 μB per atom. The calculation puts the density of states at the Fermi level at 0.649 states/eV per atom. As for the space group: I-4m2.

Entry x
Tc2NiMo: single point on PBEsol structure, meta-GGA SCAN.

Cell: 4.2456 4.2456 4.2456 Å, 60.00 60.00 60.00°
Element x y z (fractional)
Mo1 0.0000 0.0000 0.0000
Ni1 0.5000 0.5000 0.5000
Tc1 0.2500 0.2500 0.2500
Tc2 0.7500 0.7500 0.7500

Calculated values
The magnetization comes out at 0.000 μB per atom. The calculation puts the density of states at the Fermi level at 1.254 states/eV per atom. As for the space group: Fm-3m.

It is entry w that is most stable; the runner-up trails by 146 meV per atom.

Entry w
TcNi2Mo: single point on PBEsol structure, meta-GGA SCAN.

Cell: 2.5316 4.0688 4.8869 Å, 90.00 100.65 90.00°
Element x y z (fractional)
Ni1 0.8304 0.0000 0.9981
Ni2 0.9206 0.5000 0.2573
Mo1 0.2467 0.5000 0.7834
Tc1 0.5023 0.0000 0.4612

Calculated values
The magnetization comes out at 0.000 μB per atom. The calculation puts the density of states at the Fermi level at 0.526 states/eV per atom. As for the space group: Pm.

Entry x
TcNi2Mo: single point on PBEsol structure, meta-GGA SCAN.

Cell: 3.6200 3.6200 4.5706 Å, 113.33 113.33 90.00°
Element x y z (fractional)
Ni1 0.2500 0.7500 0.5000
Ni2 0.7500 0.2500 0.5000
Mo1 0.0000 0.0000 0.0000
Tc1 0.5000 0.5000 0.0000

Calculated values
The magnetization comes out at 0.001 μB per atom. The calculation puts the density of states at the Fermi level at 1.223 states/eV per atom. As for the space group: I4/mmm.

Entry y
TcNi2Mo: single point on PBEsol structure, meta-GGA SCAN.

Cell: 3.6135 3.6135 3.7976 Å, 90.00 90.00 90.00°
Element x y z (fractional)
Ni1 0.0000 0.5000 0.0000
Ni2 0.5000 0.0000 0.0000
Mo1 0.0000 0.0000 0.5000
Tc1 0.5000 0.5000 0.5000

Calculated values
The magnetization comes out at 0.001 μB per atom. The calculation puts the density of states at the Fermi level at 1.193 states/eV per atom. As for the space group: P4/mmm.

It is entry w that is most stable; the runner-up trails by 44 meV per atom.

Entry w
TcNiMo2: single point on PBEsol structure, meta-GGA SCAN.

Cell: 3.8425 3.8425 4.6012 Å, 114.68 114.68 90.00°
Element x y z (fractional)
Ni1 0.5000 0.5000 0.0000
Mo1 0.7500 0.2500 0.5000
Mo2 0.2500 0.7500 0.5000
Tc1 0.0000 0.0000 0.0000

Calculated values
The magnetization comes out at 0.000 μB per atom. The calculation puts the density of states at the Fermi level at 0.648 states/eV per atom. As for the space group: I4/mmm.

Entry x
TcNiMo2: single point on PBEsol structure, meta-GGA SCAN.

Cell: 3.7672 3.8059 3.8059 Å, 90.00 90.00 90.00°
Element x y z (fractional)
Ni1 0.5000 0.5000 0.5000
Mo1 0.0000 0.0000 0.5000
Mo2 0.0000 0.5000 0.0000
Tc1 0.5000 0.0000 0.0000

Calculated values
The magnetization comes out at 0.000 μB per atom. The calculation puts the density of states at the Fermi level at 0.606 states/eV per atom. As for the space group: P4/mmm.

It is entry x that is most stable; the runner-up trails by 18 meV per atom.

Entry w
NiTe2Mo: single point on PBEsol structure, meta-GGA SCAN.

Cell: 3.3310 4.6000 4.5982 Å, 90.00 90.00 90.00°
Element x y z (fractional)
Mo1 0.5000 0.5000 0.0000
Ni1 0.5000 0.0000 0.5000
Te1 0.0000 0.0000 0.0000
Te2 0.0000 0.5000 0.5000

Calculated values
The magnetization comes out at 0.001 μB per atom. The calculation puts the density of states at the Fermi level at 0.827 states/eV per atom. As for the space group: P4/mmm.

Entry x
NiTe2Mo: single point on PBEsol structure, meta-GGA SCAN.

Cell: 3.8520 4.8326 4.9579 Å, 119.17 112.86 90.00°
Element x y z (fractional)
Mo1 0.0000 0.5000 0.0000
Ni1 0.5000 0.0000 0.0000
Te1 0.7894 0.7894 0.5788
Te2 0.2106 0.2106 0.4212

Calculated values
The magnetization comes out at 0.000 μB per atom. The calculation puts the density of states at the Fermi level at 0.637 states/eV per atom. As for the space group: Immm.

Entry y
NiTe2Mo: single point on PBEsol structure, meta-GGA SCAN.

Cell: 3.3442 3.3442 8.6504 Å, 78.85 78.85 60.00°
Element x y z (fractional)
Ni1 0.5000 0.5000 0.5000
Mo1 0.0000 0.0000 0.0000
Te1 0.8980 0.8980 0.3060
Te2 0.1020 0.1020 0.6940

Calculated values
The magnetization comes out at 0.001 μB per atom. The calculation puts the density of states at the Fermi level at 1.259 states/eV per atom. As for the space group: R-3m.

It is entry x that is most stable; the runner-up trails by 9 meV per atom.

Entry w
MoP2O7: single point on PBEsol structure, meta-GGA SCAN.

Cell: 6.3956 6.3956 13.0818 Å, 101.61 102.04 99.31°
Last column: magnetic moment on the atom in μB.
Element x y z (fractional)
Mo1 0.1215 0.7703 0.3528  1.74
Mo2 0.5826 0.7314 0.8528  1.74
Mo3 0.4174 0.2686 0.1472  1.74
Mo4 0.8785 0.2297 0.6472  1.74
P1 0.2561 0.2868 0.3678  0.02
P2 0.7439 0.7132 0.6322  0.02
P3 0.0810 0.6117 0.8678  0.02
P4 0.4157 0.7383 0.0730  0.01
P5 0.3348 0.1574 0.5730  0.01
P6 0.5843 0.2617 0.9270  0.01
P7 0.9190 0.3883 0.1322  0.02
P8 0.6652 0.8426 0.4270  0.01
O1 0.3685 0.9468 0.1342  0.01
O2 0.8125 0.7343 0.3658  0.01
O3 0.4720 0.5878 0.1466  0.01
O4 0.0168 0.6260 0.1952  0.00
O5 0.1875 0.2657 0.6342  0.01
O6 0.5280 0.4122 0.8534  0.01
O7 0.9832 0.3740 0.8048  0.00
O8 0.8065 0.3998 0.0127  0.01
O9 0.1343 0.4725 0.3774  0.04
O10 0.5588 0.1746 0.6466  0.01
O11 0.0951 0.2569 0.1226  0.04
O12 0.4124 0.2123 0.9897  0.00
O13 0.4308 0.3216 0.3048  0.00
O14 0.2226 0.9227 0.5103  0.00
O15 0.7391 0.2758 0.1756  0.04
O16 0.6315 0.0532 0.8658  0.01
O17 0.3871 0.2938 0.4873  0.01
O18 0.8657 0.5275 0.6226  0.04
O19 0.1002 0.0635 0.3244  0.04
O20 0.6129 0.7062 0.5127  0.01
O21 0.1935 0.6002 0.9873  0.01
O22 0.2609 0.7242 0.8244  0.04
O23 0.7774 0.0773 0.4897  0.00
O24 0.5692 0.6784 0.6952  0.00
O25 0.5876 0.7877 0.0103  0.00
O26 0.9049 0.7431 0.8774  0.04
O27 0.4412 0.8254 0.3534  0.01
O28 0.8998 0.9365 0.6756  0.04

Calculated values
The magnetization comes out at 0.200 μB per atom. The calculation puts the density of states at the Fermi level at 0.090 states/eV per atom. As for the space group: C2/c.

Entry x
MoP2O7: single point on PBEsol structure, meta-GGA SCAN.

Cell: 4.9438 7.0213 8.2540 Å, 90.00 90.00 105.71°
Last column: magnetic moment on the atom in μB.
Element x y z (fractional)
Mo1 0.2152 0.7291 0.9480  1.75
Mo2 0.7848 0.2709 0.4480  1.75
P1 0.3848 0.5027 0.6367  0.02
P2 0.7539 0.8865 0.7107  0.02
P3 0.6152 0.4973 0.1367  0.02
P4 0.2461 0.1135 0.2107  0.02
O1 0.5627 0.9094 0.8521  0.01
O2 0.0020 0.8157 0.7704  0.01
O3 0.9980 0.1843 0.2704  0.01
O4 0.8508 0.0688 0.6064  0.04
O5 0.8586 0.5397 0.0170  0.00
O6 0.7101 0.4890 0.3116  0.03
O7 0.5662 0.3584 0.6213  0.00
O8 0.4373 0.0906 0.3521  0.01
O9 0.1414 0.4603 0.5170  0.00
O10 0.5729 0.7200 0.5897  0.01
O11 0.4271 0.2800 0.0897  0.01
O12 0.4338 0.6416 0.1213  0.00
O13 0.2899 0.5110 0.8116  0.03
O14 0.1492 0.9312 0.1064  0.04

Calculated values
The magnetization comes out at 0.200 μB per atom. As for the space group: P2_1.

Entry y
MoP2O7: single point on PBEsol structure, meta-GGA SCAN.

Cell: 8.2762 8.2762 8.2762 Å, 90.00 90.00 90.00°
Last column: magnetic moment on the atom in μB.
Element x y z (fractional)
P1 0.3897 0.3897 0.3897  0.01
P2 0.1103 0.6103 0.8897  0.01
P3 0.8897 0.1103 0.6103  0.01
P4 0.6103 0.8897 0.1103  0.01
P5 0.6103 0.6103 0.6103  0.01
P6 0.8897 0.3897 0.1103  0.01
P7 0.1103 0.8897 0.3897  0.01
P8 0.3897 0.1103 0.8897  0.01
Mo1 0.0000 0.0000 0.0000  1.73
Mo2 0.5000 0.0000 0.5000  1.73
Mo3 0.5000 0.5000 0.0000  1.73
Mo4 0.0000 0.5000 0.5000  1.73
O1 0.5000 0.5000 0.5000  0.01
O2 0.0000 0.5000 0.0000  0.01
O3 0.0000 0.0000 0.5000  0.01
O4 0.5000 0.0000 0.0000  0.01
O5 0.2165 0.0838 0.9416  0.01
O6 0.9416 0.2165 0.0838  0.01
O7 0.0838 0.9416 0.2165  0.01
O8 0.4162 0.0584 0.7165  0.01
O9 0.4416 0.2835 0.9162  0.01
O10 0.9162 0.4416 0.2835  0.01
O11 0.5584 0.7835 0.5838  0.01
O12 0.0584 0.7165 0.4162  0.01
O13 0.5838 0.5584 0.7835  0.01
O14 0.7165 0.4162 0.0584  0.01
O15 0.7835 0.5838 0.5584  0.01
O16 0.2835 0.9162 0.4416  0.01
O17 0.7835 0.9162 0.0584  0.01
O18 0.0584 0.7835 0.9162  0.01
O19 0.9162 0.0584 0.7835  0.01
O20 0.5838 0.9416 0.2835  0.01
O21 0.5584 0.7165 0.0838  0.01
O22 0.0838 0.5584 0.7165  0.01
O23 0.4416 0.2165 0.4162  0.01
O24 0.9416 0.2835 0.5838  0.01
O25 0.4162 0.4416 0.2165  0.01
O26 0.2835 0.5838 0.9416  0.01
O27 0.2165 0.4162 0.4416  0.01
O28 0.7165 0.0838 0.5584  0.01

Calculated values
The magnetization comes out at 0.200 μB per atom. The calculation puts the density of states at the Fermi level at 0.320 states/eV per atom. As for the space group: Pa-3.

It is entry x that is most stable; the runner-up trails by 15 meV per atom.

Entry w
MoP2O7: single point on PBEsol structure, meta-GGA SCAN.

Cell: 4.6281 5.1715 5.1715 Å, 100.21 97.70 97.70°
Last column: magnetic moment on the atom in μB.
Element x y z (fractional)
P1 0.4145 0.7349 0.6638  0.01
P2 0.5855 0.3362 0.2651  0.01
Mo1 0.0000 0.8861 0.1139  1.75
O1 0.5000 0.4512 0.5488  0.00
O2 0.2746 0.8459 0.4335  0.02
O3 0.7028 0.9152 0.8037  0.02
O4 0.1991 0.6720 0.8532  0.00
O5 0.2972 0.1963 0.0848  0.02
O6 0.7254 0.5665 0.1541  0.02
O7 0.8009 0.1468 0.3280  0.00

Calculated values
The magnetization comes out at 0.200 μB per atom. The calculation puts the density of states at the Fermi level at 0.158 states/eV per atom. As for the space group: C2.

Entry x
MoP2O7: single point on PBEsol structure, meta-GGA SCAN.

Cell: 7.2087 8.3271 9.5251 Å, 90.00 109.13 90.00°
Last column: magnetic moment on the atom in μB.
Element x y z (fractional)
Mo1 0.7229 0.0057 0.7541  1.75
Mo2 0.2771 0.9943 0.2459  1.75
Mo3 0.7229 0.4943 0.2541  1.75
Mo4 0.2771 0.5057 0.7459  1.75
P1 0.3227 0.3010 0.0517  0.02
P2 0.6773 0.6990 0.9483  0.02
P3 0.3227 0.1990 0.5517  0.02
P4 0.9240 0.2629 0.5569  0.01
P5 0.6773 0.8010 0.4483  0.02
P6 0.0760 0.7629 0.9431  0.01
P7 0.9240 0.2371 0.0569  0.01
P8 0.0760 0.7371 0.4431  0.01
O1 0.8030 0.1482 0.6134  0.04
O2 0.8058 0.3192 0.4008  0.00
O3 0.4507 0.4168 0.1682  0.00
O4 0.0100 0.4044 0.6604  0.01
O5 0.1027 0.1557 0.5431  0.01
O6 0.1942 0.6808 0.5992  0.00
O7 0.5493 0.9168 0.3318  0.00
O8 0.1027 0.3443 0.0431  0.01
O9 0.5493 0.5833 0.8318  0.00
O10 0.1970 0.6482 0.8866  0.04
O11 0.8058 0.1808 0.9008  0.00
O12 0.6622 0.6719 0.1027  0.01
O13 0.3605 0.3739 0.5994  0.04
O14 0.1942 0.8192 0.0992  0.00
O15 0.9900 0.9044 0.8396  0.01
O16 0.1970 0.8518 0.3866  0.04
O17 0.8973 0.6557 0.9569  0.01
O18 0.4507 0.0832 0.6682  0.00
O19 0.8973 0.8443 0.4569  0.01
O20 0.3378 0.1719 0.3973  0.01
O21 0.6395 0.8739 0.9006  0.04
O22 0.0100 0.0956 0.1604  0.01
O23 0.6395 0.6261 0.4006  0.04
O24 0.3605 0.1261 0.0994  0.04
O25 0.8030 0.3518 0.1134  0.04
O26 0.9900 0.5956 0.3396  0.01
O27 0.6622 0.8281 0.6027  0.01
O28 0.3378 0.3281 0.8973  0.01

Calculated values
The magnetization comes out at 0.200 μB per atom. As for the space group: P2_1/c.

It is entry x that is most stable; the runner-up trails by 20 meV per atom.

Entry w
TlMoO2: single point on PBEsol structure, meta-GGA SCAN.

Cell: 3.1446 3.1446 7.7441 Å, 78.29 78.29 60.00°
Element x y z (fractional)
Tl1 0.5000 0.5000 0.5000
Mo1 0.0000 0.0000 0.0000
O1 0.9208 0.9208 0.2376
O2 0.0792 0.0792 0.7624

Calculated values
The magnetization comes out at 0.000 μB per atom. The calculation puts the density of states at the Fermi level at 0.272 states/eV per atom. As for the space group: R-3m.

Entry x
TlMoO2: single point on PBEsol structure, meta-GGA SCAN.

Cell: 4.0899 4.0899 4.0899 Å, 60.00 60.00 60.00°
Element x y z (fractional)
Tl1 0.5000 0.5000 0.5000
Mo1 0.0000 0.0000 0.0000
O1 0.2500 0.2500 0.2500
O2 0.7500 0.7500 0.7500

Calculated values
The magnetization comes out at 0.000 μB per atom. The calculation puts the density of states at the Fermi level at 0.273 states/eV per atom. As for the space group: Fm-3m.

It is entry w that is most stable; the runner-up trails by 739 meV per atom.